Zr2CuSb: relaxed, GGA-PBE.

Geometry as POSCAR:
```
Zr2CuSb
1.0
-0.5562 4.1110 -0.5694
-4.3124 -0.6068 -0.1686
-0.2481 0.5640 4.3144
Zr Sb Cu
2 1 1
direct
0.0000 0.5000 0.0000
0.0000 0.0000 0.5000
0.5000 0.0000 0.0000
0.5000 0.5000 0.5000
```

Computed properties:
N(E_F) in states/eV/f.u.: 2.20
Formation energy (no corrections) in eV per atom: -0.35
SG: P4/mmm